Record 1
DyTmSeO2 | PBE | relaxed

Output
Space-group type: P2_1/m
Uncorrected formation energy (eV per atom): -3.137

Cell: 6.432 3.986 7.527 Å, 90.00 107.31 90.00°
Fractional coordinates of all 10 atoms:
Dy 0.182 0.250 0.425
Dy 0.818 0.750 0.575
Tm 0.174 0.250 0.917
Tm 0.826 0.750 0.083
Se 0.455 0.750 0.742
Se 0.545 0.250 0.258
O 0.014 0.750 0.883
O 0.020 0.750 0.375
O 0.980 0.250 0.625
O 0.986 0.250 0.117


Record 2
DyUSe2O | PBE | relaxed

Output
Space-group type: P4/nmm
Uncorrected formation energy (eV per atom): -2.105

Cell: 3.962 3.962 13.924 Å, 90.00 90.00 90.00°
Fractional coordinates of all 10 atoms:
Dy 0.250 0.250 0.102
Dy 0.750 0.750 0.898
U 0.250 0.250 0.590
U 0.750 0.750 0.410
Se 0.250 0.250 0.309
Se 0.250 0.250 0.890
Se 0.750 0.750 0.110
Se 0.750 0.750 0.691
O 0.250 0.750 0.500
O 0.750 0.250 0.500